# BaNpW2S8

A relaxed BaNpW2S8 crystal (PBE-GGA, the Alexandria database).

Calculated values
Final energy: -6.9926 eV per atom
Space group: R-3 (148)
Total moment: 5.03 Bohr magnetons per cell
Calculated volume: 26.508 A^3/atom
N(E_F): 0.7384 states/eV/atom

Cell and atoms, written as CIF:
```
data_BaNpW2S8
_symmetry_space_group_name_H-M 'P 1'
_symmetry_Int_Tables_number 1
_cell_length_a 6.337
_cell_length_b 6.337
_cell_length_c 9.851
_cell_angle_alpha 71.24
_cell_angle_beta 71.24
_cell_angle_gamma 60.00
loop_
_symmetry_equiv_pos_as_xyz
'x,y,z'
loop_
_atom_site_label
_atom_site_fract_x
_atom_site_fract_y
_atom_site_fract_z
_atom_site_occupancy
S1 0.401 0.708 0.815 1
S2 0.925 0.599 0.185 1
S3 0.708 0.075 0.815 1
S4 0.599 0.292 0.185 1
S5 0.168 0.168 0.496 1
S6 0.832 0.832 0.504 1
S7 0.075 0.401 0.815 1
S8 0.292 0.925 0.185 1
Ba1 0.500 0.500 0.500 1
W1 0.248 0.248 0.256 1
W2 0.752 0.752 0.744 1
Np1 0.000 0.000 0.000 1
```

***

# BaNpZnS4

A relaxed BaNpZnS4 crystal (PBE-GGA, the Alexandria database).

Calculated values
Final energy: -5.9679 eV per atom
Space group: P2_1/m (11)
Total moment: 6.00 Bohr magnetons per cell
Calculated volume: 24.708 A^3/atom
N(E_F): 1.2081 states/eV/atom

Cell and atoms, written as CIF:
```
data_BaNpZnS4
_symmetry_space_group_name_H-M 'P 1'
_symmetry_Int_Tables_number 1
_cell_length_a 6.466
_cell_length_b 6.593
_cell_length_c 8.544
_cell_angle_alpha 90.00
_cell_angle_beta 108.26
_cell_angle_gamma 90.00
loop_
_symmetry_equiv_pos_as_xyz
'x,y,z'
loop_
_atom_site_label
_atom_site_fract_x
_atom_site_fract_y
_atom_site_fract_z
_atom_site_occupancy
Ba1 0.751 0.750 0.943 1
Ba2 0.249 0.250 0.057 1
Np1 0.221 0.250 0.554 1
Np2 0.779 0.750 0.446 1
S1 0.470 0.750 0.589 1
S2 0.566 0.250 0.850 1
S3 0.979 0.012 0.288 1
S4 0.021 0.988 0.712 1
S5 0.979 0.488 0.288 1
S6 0.530 0.250 0.411 1
S7 0.021 0.512 0.712 1
S8 0.434 0.750 0.150 1
Zn1 0.234 0.750 0.328 1
Zn2 0.766 0.250 0.672 1
```

***

# Ba2NpZnS5

A relaxed Ba2NpZnS5 crystal (PBE-GGA, the Alexandria database).

Calculated values
Final energy: -5.8523 eV per atom
Space group: Cmc2_1 (36)
Total moment: 6.00 Bohr magnetons per cell
Calculated volume: 26.739 A^3/atom
N(E_F): 1.0644 states/eV/atom

Cell and atoms, written as CIF:
```
data_Ba2NpZnS5
_symmetry_space_group_name_H-M 'P 1'
_symmetry_Int_Tables_number 1
_cell_length_a 4.131
_cell_length_b 9.281
_cell_length_c 12.875
_cell_angle_alpha 90.00
_cell_angle_beta 90.00
_cell_angle_gamma 102.86
loop_
_symmetry_equiv_pos_as_xyz
'x,y,z'
loop_
_atom_site_label
_atom_site_fract_x
_atom_site_fract_y
_atom_site_fract_z
_atom_site_occupancy
S1 0.309 0.618 0.379 1
S2 0.653 0.305 0.508 1
S3 0.054 0.108 0.035 1
S4 0.691 0.382 0.879 1
S5 0.500 0.001 0.781 1
S6 0.347 0.695 0.008 1
S7 0.946 0.892 0.535 1
S8 0.293 0.585 0.656 1
S9 0.707 0.415 0.156 1
S10 0.500 0.999 0.281 1
Np1 0.798 0.595 0.519 1
Np2 0.202 0.405 0.019 1
Zn1 0.558 0.117 0.938 1
Zn2 0.442 0.883 0.438 1
Ba1 0.124 0.248 0.321 1
Ba2 0.876 0.752 0.821 1
Ba3 0.887 0.774 0.189 1
Ba4 0.113 0.226 0.689 1
```

***

# Ba2NpZnS6

A relaxed Ba2NpZnS6 crystal (PBE-GGA, the Alexandria database).

Calculated values
Final energy: -5.6437 eV per atom
Space group: P2_1/c (14)
Total moment: 1.98 Bohr magnetons per cell
Calculated volume: 25.071 A^3/atom
N(E_F): 0.0737 states/eV/atom

Cell and atoms, written as CIF:
```
data_Ba2NpZnS6
_symmetry_space_group_name_H-M 'P 1'
_symmetry_Int_Tables_number 1
_cell_length_a 7.072
_cell_length_b 7.085
_cell_length_c 10.008
_cell_angle_alpha 90.00
_cell_angle_beta 89.82
_cell_angle_gamma 90.00
loop_
_symmetry_equiv_pos_as_xyz
'x,y,z'
loop_
_atom_site_label
_atom_site_fract_x
_atom_site_fract_y
_atom_site_fract_z
_atom_site_occupancy
S1 0.944 0.501 0.250 1
S2 0.444 0.999 0.750 1
S3 0.716 0.284 0.528 1
S4 0.216 0.216 0.028 1
S5 0.218 0.217 0.470 1
S6 0.784 0.784 0.972 1
S7 0.282 0.717 0.030 1
S8 0.284 0.716 0.472 1
S9 0.718 0.283 0.970 1
S10 0.782 0.783 0.530 1
S11 0.056 0.499 0.750 1
S12 0.556 0.001 0.250 1
Ba1 0.992 0.039 0.748 1
Ba2 0.008 0.961 0.252 1
Ba3 0.492 0.461 0.248 1
Ba4 0.508 0.539 0.752 1
Zn1 0.500 0.000 0.000 1
Zn2 0.000 0.500 0.500 1
Np1 0.500 0.000 0.500 1
Np2 0.000 0.500 0.000 1
```

***

# BaNpSb2

A relaxed BaNpSb2 crystal (PBE-GGA, the Alexandria database).

Calculated values
Final energy: -6.2718 eV per atom
Space group: R3m (160)
Total moment: 3.04 Bohr magnetons per cell
Calculated volume: 36.842 A^3/atom
N(E_F): 2.1275 states/eV/atom

Cell and atoms, written as CIF:
```
data_BaNpSb2
_symmetry_space_group_name_H-M 'P 1'
_symmetry_Int_Tables_number 1
_cell_length_a 4.586
_cell_length_b 4.586
_cell_length_c 8.513
_cell_angle_alpha 74.37
_cell_angle_beta 74.37
_cell_angle_gamma 60.00
loop_
_symmetry_equiv_pos_as_xyz
'x,y,z'
loop_
_atom_site_label
_atom_site_fract_x
_atom_site_fract_y
_atom_site_fract_z
_atom_site_occupancy
Np1 0.668 0.668 0.996 1
Ba1 0.498 0.498 0.507 1
Sb1 0.265 0.265 0.205 1
Sb2 0.069 0.069 0.793 1
```

***

# BaNpSb2

A relaxed BaNpSb2 crystal (PBE-GGA, the Alexandria database).

Calculated values
Final energy: -6.3192 eV per atom
Space group: R-3m (166)
Total moment: 3.05 Bohr magnetons per cell
Calculated volume: 36.586 A^3/atom
N(E_F): 2.2654 states/eV/atom

Cell and atoms, written as CIF:
```
data_BaNpSb2
_symmetry_space_group_name_H-M 'P 1'
_symmetry_Int_Tables_number 1
_cell_length_a 4.634
_cell_length_b 4.634
_cell_length_c 8.313
_cell_angle_alpha 73.82
_cell_angle_beta 73.82
_cell_angle_gamma 60.00
loop_
_symmetry_equiv_pos_as_xyz
'x,y,z'
loop_
_atom_site_label
_atom_site_fract_x
_atom_site_fract_y
_atom_site_fract_z
_atom_site_occupancy
Ba1 0.500 0.500 0.500 1
Np1 0.000 0.000 0.000 1
Sb1 0.265 0.265 0.205 1
Sb2 0.735 0.735 0.795 1
```

***

# BaNpSb2

A relaxed BaNpSb2 crystal (PBE-GGA, the Alexandria database).

Calculated values
Final energy: -6.2339 eV per atom
Space group: P4/mmm (123)
Total moment: 4.02 Bohr magnetons per cell
Calculated volume: 31.462 A^3/atom
N(E_F): 2.7871 states/eV/atom

Cell and atoms, written as CIF:
```
data_BaNpSb2
_symmetry_space_group_name_H-M 'P 1'
_symmetry_Int_Tables_number 1
_cell_length_a 3.850
_cell_length_b 3.850
_cell_length_c 8.490
_cell_angle_alpha 90.00
_cell_angle_beta 90.00
_cell_angle_gamma 90.00
loop_
_symmetry_equiv_pos_as_xyz
'x,y,z'
loop_
_atom_site_label
_atom_site_fract_x
_atom_site_fract_y
_atom_site_fract_z
_atom_site_occupancy
Sb1 0.000 0.000 0.217 1
Sb2 0.000 0.000 0.783 1
Np1 0.500 0.500 0.000 1
Ba1 0.500 0.500 0.500 1
```

***

# BaNp4Se8

A relaxed BaNp4Se8 crystal (PBE-GGA, the Alexandria database).

Calculated values
Final energy: -7.5317 eV per atom
Space group: C2/m (12)
Total moment: 14.00 Bohr magnetons per cell
Calculated volume: 36.348 A^3/atom
N(E_F): 2.9576 states/eV/atom

Cell and atoms, written as CIF:
```
data_BaNp4Se8
_symmetry_space_group_name_H-M 'P 1'
_symmetry_Int_Tables_number 1
_cell_length_a 8.326
_cell_length_b 8.326
_cell_length_c 8.900
_cell_angle_alpha 102.75
_cell_angle_beta 104.40
_cell_angle_gamma 119.88
loop_
_symmetry_equiv_pos_as_xyz
'x,y,z'
loop_
_atom_site_label
_atom_site_fract_x
_atom_site_fract_y
_atom_site_fract_z
_atom_site_occupancy
Np1 0.246 0.246 0.000 1
Np2 0.262 0.765 0.027 1
Np3 0.738 0.235 0.973 1
Np4 0.754 0.754 0.000 1
Ba1 0.000 0.500 0.500 1
Se1 0.830 0.499 0.802 1
Se2 0.317 0.498 0.814 1
Se3 0.697 0.028 0.198 1
Se4 0.303 0.972 0.802 1
Se5 0.170 0.501 0.198 1
Se6 0.818 0.979 0.797 1
Se7 0.182 0.021 0.203 1
Se8 0.683 0.502 0.186 1
```